## ThScPd4 (PBE)

Data for ThScPd4 after structural relaxation.

Geometry as CIF:
```
data_ThScPd4
_chemical_formula_sum 'Th4 Sc4 Pd16'
_symmetry_space_group_name_H-M 'P n m a'
_symmetry_Int_Tables_number 62
_cell_length_a 7.962
_cell_length_b 4.114
_cell_length_c 14.018
_cell_angle_alpha 90.00
_cell_angle_beta 90.00
_cell_angle_gamma 90.00
loop_
_symmetry_equiv_pos_as_xyz
'x,y,z'
'-x,-y,-z'
'-x+1/2,-y,z+1/2'
'x+1/2,y,-z+1/2'
'x+1/2,-y+1/2,-z+1/2'
'-x+1/2,y+1/2,z+1/2'
'-x,y+1/2,-z'
'x,-y+1/2,z'
loop_
_atom_site_label
_atom_site_type_symbol
_atom_site_fract_x
_atom_site_fract_y
_atom_site_fract_z
_atom_site_occupancy
Th1 Th 0.207 0.250 0.050 1
Sc1 Sc 0.195 0.750 0.266 1
Pd1 Pd 0.025 0.250 0.872 1
Pd2 Pd 0.030 0.250 0.577 1
Pd3 Pd 0.064 0.750 0.727 1
Pd4 Pd 0.226 0.250 0.398 1
```

Calculated values
Total DFT energy (no corrections) (eV/atom): -6.571
ΔH_f (0 K) (meV per atom): -818
DOS(E_F) (states/eV/atom): 0.5141

=====

## ThScPd3 (PBE)

Data for ThScPd3 after structural relaxation.

Geometry as CIF:
```
data_ThScPd3
_chemical_formula_sum 'Th2 Sc2 Pd6'
_symmetry_space_group_name_H-M 'P m m n'
_symmetry_Int_Tables_number 59
_cell_length_a 4.149
_cell_length_b 5.750
_cell_length_c 8.862
_cell_angle_alpha 90.00
_cell_angle_beta 90.00
_cell_angle_gamma 90.00
loop_
_symmetry_equiv_pos_as_xyz
'x,y,z'
'-x,-y,-z'
'-x+1/2,-y+1/2,z'
'x+1/2,y+1/2,-z'
'x+1/2,-y,-z'
'-x+1/2,y,z'
'-x,y+1/2,-z'
'x,-y+1/2,z'
loop_
_atom_site_label
_atom_site_type_symbol
_atom_site_fract_x
_atom_site_fract_y
_atom_site_fract_z
_atom_site_occupancy
Th1 Th 0.250 0.250 0.114 1
Sc1 Sc 0.250 0.750 0.452 1
Pd1 Pd 0.250 0.008 0.708 1
Pd2 Pd 0.250 0.750 0.134 1
```

Calculated values
Total DFT energy (no corrections) (eV/atom): -6.659
ΔH_f (0 K) (meV per atom): -793
DOS(E_F) (states/eV/atom): 0.5651

=====

## ThSc2Pd (PBE)

Data for ThSc2Pd after structural relaxation.

Geometry as CIF:
```
data_ThSc2Pd
_chemical_formula_sum 'Th4 Sc8 Pd4'
_symmetry_space_group_name_H-M 'P n m a'
_symmetry_Int_Tables_number 62
_cell_length_a 6.655
_cell_length_b 9.660
_cell_length_c 6.075
_cell_angle_alpha 90.00
_cell_angle_beta 90.00
_cell_angle_gamma 90.00
loop_
_symmetry_equiv_pos_as_xyz
'x,y,z'
'-x,-y,-z'
'-x+1/2,-y,z+1/2'
'x+1/2,y,-z+1/2'
'x+1/2,-y+1/2,-z+1/2'
'-x+1/2,y+1/2,z+1/2'
'-x,y+1/2,-z'
'x,-y+1/2,z'
loop_
_atom_site_label
_atom_site_type_symbol
_atom_site_fract_x
_atom_site_fract_y
_atom_site_fract_z
_atom_site_occupancy
Th1 Th 0.018 0.250 0.137 1
Sc1 Sc 0.183 0.050 0.663 1
Pd1 Pd 0.110 0.750 0.400 1
```

Calculated values
Total DFT energy (no corrections) (eV/atom): -6.719
ΔH_f (0 K) (meV per atom): -400
DOS(E_F) (states/eV/atom): 1.4211

=====

## ThSc2Pd8 (PBE)

Data for ThSc2Pd8 after structural relaxation.

Geometry as CIF:
```
data_ThSc2Pd8
_chemical_formula_sum 'Th2 Sc4 Pd16'
_symmetry_space_group_name_H-M 'C 1 2/m 1'
_symmetry_Int_Tables_number 12
_cell_length_a 14.701
_cell_length_b 4.142
_cell_length_c 6.630
_cell_angle_alpha 90.00
_cell_angle_beta 107.48
_cell_angle_gamma 90.00
loop_
_symmetry_equiv_pos_as_xyz
'x,y,z'
'-x,-y,-z'
'-x,y,-z'
'x,-y,z'
'x+1/2,y+1/2,z'
'-x+1/2,-y+1/2,-z'
'-x+1/2,y+1/2,-z'
'x+1/2,-y+1/2,z'
loop_
_atom_site_label
_atom_site_type_symbol
_atom_site_fract_x
_atom_site_fract_y
_atom_site_fract_z
_atom_site_occupancy
Th1 Th 0.000 0.000 0.000 1
Sc1 Sc 0.220 0.500 0.664 1
Pd1 Pd 0.042 0.500 0.719 1
Pd2 Pd 0.099 0.000 0.461 1
Pd3 Pd 0.147 0.500 0.199 1
Pd4 Pd 0.182 0.000 0.914 1
```

Calculated values
Total DFT energy (no corrections) (eV/atom): -6.405
ΔH_f (0 K) (meV per atom): -803
DOS(E_F) (states/eV/atom): 0.4684

=====

## ThScPd6 (PBE)

Data for ThScPd6 after structural relaxation.

Geometry as CIF:
```
data_ThScPd6
_chemical_formula_sum 'Th1 Sc1 Pd6'
_symmetry_space_group_name_H-M 'P 4/m m m'
_symmetry_Int_Tables_number 123
_symmetry_space_group_name_Hall '-P 4 2'
_cell_length_a 4.127
_cell_length_b 4.127
_cell_length_c 8.163
_cell_angle_alpha 90.00
_cell_angle_beta 90.00
_cell_angle_gamma 90.00
loop_
_atom_site_label
_atom_site_type_symbol
_atom_site_fract_x
_atom_site_fract_y
_atom_site_fract_z
_atom_site_occupancy
Th1 Th 0.000 0.000 0.000 1
Sc1 Sc 0.000 0.000 0.500 1
Pd1 Pd 0.000 0.500 0.260 1
Pd2 Pd 0.500 0.500 0.000 1
Pd3 Pd 0.500 0.500 0.500 1
```

Calculated values
Total DFT energy (no corrections) (eV/atom): -6.540
ΔH_f (0 K) (meV per atom): -926
DOS(E_F) (states/eV/atom): 0.2167

=====

## ThScPd2 (PBE)

Data for ThScPd2 after structural relaxation.

Geometry as CIF:
```
data_ThScPd2
_chemical_formula_sum 'Th3 Sc3 Pd6'
_symmetry_space_group_name_H-M 'R -3 m'
_symmetry_Int_Tables_number 166
_symmetry_space_group_name_Hall '-R 3 2"'
_cell_length_a 4.6679
_cell_length_b 4.6679
_cell_length_c 13.9474
_cell_angle_alpha 90.00
_cell_angle_beta 90.00
_cell_angle_gamma 120.00
loop_
_atom_site_label
_atom_site_type_symbol
_atom_site_fract_x
_atom_site_fract_y
_atom_site_fract_z
_atom_site_occupancy
Th1 Th 0.0000 0.0000 0.0000 1
Sc1 Sc 0.0000 0.0000 0.5000 1
Pd1 Pd 0.0000 0.0000 0.2188 1
```

Calculated values
Total DFT energy (no corrections) (eV/atom): -6.818
ΔH_f (0 K) (meV per atom): -783
DOS(E_F) (states/eV/atom): 0.7998

=====

## ThScPd (PBE)

Data for ThScPd after structural relaxation.

Geometry as CIF:
```
data_ThScPd
_chemical_formula_sum 'Th2 Sc2 Pd2'
_symmetry_space_group_name_H-M 'P 4/n m m'
_symmetry_Int_Tables_number 129
_cell_length_a 4.522
_cell_length_b 4.522
_cell_length_c 7.155
_cell_angle_alpha 90.00
_cell_angle_beta 90.00
_cell_angle_gamma 90.00
loop_
_symmetry_equiv_pos_as_xyz
'x,y,z'
'-x,-y,-z'
'-y+1/2,x,z'
'y+1/2,-x,-z'
'-x+1/2,-y+1/2,z'
'x+1/2,y+1/2,-z'
'y,-x+1/2,z'
'-y,x+1/2,-z'
'x+1/2,-y,-z'
'-x+1/2,y,z'
'-y,-x,-z'
'y,x,z'
'-x,y+1/2,-z'
'x,-y+1/2,z'
'y+1/2,x+1/2,-z'
'-y+1/2,-x+1/2,z'
loop_
_atom_site_label
_atom_site_type_symbol
_atom_site_fract_x
_atom_site_fract_y
_atom_site_fract_z
_atom_site_occupancy
Th1 Th 0.250 0.250 0.125 1
Sc1 Sc 0.250 0.750 0.500 1
Pd1 Pd 0.250 0.250 0.734 1
```

Calculated values
Total DFT energy (no corrections) (eV/atom): -6.828
ΔH_f (0 K) (meV per atom): -514
DOS(E_F) (states/eV/atom): 1.1608

=====

## ThScPd (PBE)

Data for ThScPd after structural relaxation.

Geometry as CIF:
```
data_ThScPd
_chemical_formula_sum 'Th2 Sc2 Pd2'
_symmetry_space_group_name_H-M 'I 4 m m'
_symmetry_Int_Tables_number 107
_symmetry_space_group_name_Hall 'I 4 -2'
_cell_length_a 3.472
_cell_length_b 3.472
_cell_length_c 11.789
_cell_angle_alpha 90.00
_cell_angle_beta 90.00
_cell_angle_gamma 90.00
loop_
_atom_site_label
_atom_site_type_symbol
_atom_site_fract_x
_atom_site_fract_y
_atom_site_fract_z
_atom_site_occupancy
Th1 Th 0.000 0.000 0.000 1
Sc1 Sc 0.000 0.000 0.292 1
Pd1 Pd 0.000 0.000 0.669 1
```

Calculated values
Total DFT energy (no corrections) (eV/atom): -6.771
ΔH_f (0 K) (meV per atom): -456
DOS(E_F) (states/eV/atom): 1.4830

=====

## Th3ScPd12 (PBE)

Data for Th3ScPd12 after structural relaxation.

Geometry as CIF:
```
data_Th3ScPd12
_chemical_formula_sum 'Th3 Sc1 Pd12'
_symmetry_space_group_name_H-M 'P 4/m m m'
_symmetry_Int_Tables_number 123
_symmetry_space_group_name_Hall '-P 4 2'
_cell_length_a 4.173
_cell_length_b 4.173
_cell_length_c 16.640
_cell_angle_alpha 90.00
_cell_angle_beta 90.00
_cell_angle_gamma 90.00
loop_
_atom_site_label
_atom_site_type_symbol
_atom_site_fract_x
_atom_site_fract_y
_atom_site_fract_z
_atom_site_occupancy
Th1 Th 0.000 0.000 0.000 1
Th2 Th 0.000 0.000 0.259 1
Sc1 Sc 0.000 0.000 0.500 1
Pd1 Pd 0.000 0.500 0.128 1
Pd2 Pd 0.000 0.500 0.383 1
Pd3 Pd 0.500 0.500 0.000 1
Pd4 Pd 0.500 0.500 0.254 1
Pd5 Pd 0.500 0.500 0.500 1
```

Calculated values
Total DFT energy (no corrections) (eV/atom): -6.613
ΔH_f (0 K) (meV per atom): -931
DOS(E_F) (states/eV/atom): 0.0759

=====

## Th2ScPd9 (PBE)

Data for Th2ScPd9 after structural relaxation.

Geometry as CIF:
```
data_Th2ScPd9
_chemical_formula_sum 'Th2 Sc1 Pd9'
_symmetry_space_group_name_H-M 'P 4/m m m'
_symmetry_Int_Tables_number 123
_symmetry_space_group_name_Hall '-P 4 2'
_cell_length_a 4.163
_cell_length_b 4.163
_cell_length_c 12.374
_cell_angle_alpha 90.00
_cell_angle_beta 90.00
_cell_angle_gamma 90.00
loop_
_atom_site_label
_atom_site_type_symbol
_atom_site_fract_x
_atom_site_fract_y
_atom_site_fract_z
_atom_site_occupancy
Th1 Th 0.000 0.000 0.175 1
Sc1 Sc 0.000 0.000 0.500 1
Pd1 Pd 0.000 0.500 0.000 1
Pd2 Pd 0.000 0.500 0.342 1
Pd3 Pd 0.500 0.500 0.170 1
Pd4 Pd 0.500 0.500 0.500 1
```

Calculated values
Total DFT energy (no corrections) (eV/atom): -6.594
ΔH_f (0 K) (meV per atom): -935
DOS(E_F) (states/eV/atom): 0.1136

=====

## ThSc2Pd (PBE)

Data for ThSc2Pd after structural relaxation.

Geometry as CIF:
```
data_ThSc2Pd
_chemical_formula_sum 'Th1 Sc2 Pd1'
_symmetry_space_group_name_H-M 'P 4/m m m'
_symmetry_Int_Tables_number 123
_symmetry_space_group_name_Hall '-P 4 2'
_cell_length_a 3.381
_cell_length_b 3.381
_cell_length_c 8.029
_cell_angle_alpha 90.00
_cell_angle_beta 90.00
_cell_angle_gamma 90.00
loop_
_atom_site_label
_atom_site_type_symbol
_atom_site_fract_x
_atom_site_fract_y
_atom_site_fract_z
_atom_site_occupancy
Th1 Th 0.000 0.000 0.000 1
Sc1 Sc 0.500 0.500 0.302 1
Pd1 Pd 0.000 0.000 0.500 1
```

Calculated values
Total DFT energy (no corrections) (eV/atom): -6.749
ΔH_f (0 K) (meV per atom): -430
DOS(E_F) (states/eV/atom): 1.1394